Ac6PtI12 | PBE | relaxed

Results
For the energy relative to the elements, uncorrected, the calculation gives -1.276 eV per atom.

Cell lengths 9.4699, 9.4699, 9.4699 Å; angles 75.66, 75.66, 75.66 degrees
Fractional coordinates of all 19 atoms:
Ac  0.2778  0.2778  0.6816
Ac  0.2778  0.6816  0.2778
Ac  0.3184  0.7222  0.7222
Ac  0.6816  0.2778  0.2778
Ac  0.7222  0.3184  0.7222
Ac  0.7222  0.7222  0.3184
Pt  0.5000  0.5000  0.5000
I  0.0460  0.0460  0.6798
I  0.0460  0.6798  0.0460
I  0.0535  0.6150  0.6150
I  0.3202  0.9540  0.9540
I  0.3850  0.3850  0.9465
I  0.3850  0.9465  0.3850
I  0.6150  0.0535  0.6150
I  0.6150  0.6150  0.0535
I  0.6798  0.0460  0.0460
I  0.9465  0.3850  0.3850
I  0.9540  0.3202  0.9540
I  0.9540  0.9540  0.3202

---

Ac3PtI2 | PBE | relaxed

Results
For the energy relative to the elements, uncorrected, the calculation gives -1.082 eV per atom.

Cell lengths 9.0062, 9.0062, 9.0062 Å; angles 151.96, 137.17, 51.97 degrees
Fractional coordinates of all 6 atoms:
Ac  0.0000  0.0000  0.0000
Ac  0.3773  0.3773  0.0000
Ac  0.6227  0.6227  0.0000
Pt  0.5000  0.0000  0.5000
I  0.1898  0.6898  0.5000
I  0.8102  0.3102  0.5000

---

Ac6Pt3I2 | PBE | relaxed

Results
For the energy relative to the elements, uncorrected, the calculation gives -1.075 eV per atom.

Cell lengths 7.7746, 7.7746, 8.7989 Å; angles 98.36, 98.36, 119.89 degrees
Fractional coordinates of all 11 atoms:
Ac  0.1041  0.4331  0.8107
Ac  0.2243  0.2243  0.1886
Ac  0.4331  0.1041  0.8107
Ac  0.5669  0.8959  0.1893
Ac  0.7757  0.7757  0.8114
Ac  0.8959  0.5669  0.1893
Pt  0.1684  0.8316  0.0000
Pt  0.5000  0.5000  0.0000
Pt  0.8316  0.1684  0.0000
I  0.3328  0.6672  0.5000
I  0.6672  0.3328  0.5000